Compound: Na2CrMo2O6
Source: the Alexandria database
Functional: PBE with a Hubbard U
Structure: relaxed

Output
* total energy: -72.40 eV per cell
* calculated volume: 12.46 A^3/atom
* total moment: 6.0 μB per cell
* space-group type: C2/m, No. 12

Lattice parameters (Å, degrees): 5.214 5.214 5.822 98.14 98.14 116.00
Sites, in units of the cell vectors:
Na  0.175  0.825  0.000
Na  0.825  0.175  0.000
Cr  0.000  0.000  0.500
Mo  0.354  0.646  0.500
Mo  0.646  0.354  0.500
O  0.052  0.390  0.688
O  0.234  0.234  0.285
O  0.390  0.052  0.688
O  0.610  0.948  0.312
O  0.766  0.766  0.715
O  0.948  0.610  0.312